Entry from the Alexandria database: a geometry-optimized AcRhPb2O8 structure (PBE).

Results
Its space group is P2/m. As for the total energy: -72.84 eV per formula unit.

POSCAR file:
```
AcRhPb2O8
1.0
5.0399 0.0000 0.0000
0.0000 7.0001 0.0000
-0.1459 0.0000 5.0656
Ac Rh Pb O
1 1 2 8
direct
0.0000 0.0000 0.0000
0.0000 0.5000 0.0000
0.5000 0.2605 0.5000
0.5000 0.7395 0.5000
0.1603 0.2938 0.2190
0.1603 0.7062 0.2190
0.3094 0.5000 0.7506
0.3736 0.0000 0.7177
0.6264 0.0000 0.2823
0.6906 0.5000 0.2494
0.8397 0.2938 0.7810
0.8397 0.7062 0.7810
```

Entry from the Alexandria database: a geometry-optimized Ac2RhPbO5 structure (PBE).

Results
Its space group is P4/mbm. As for the total energy: -62.71 eV per formula unit.

POSCAR file:
```
Ac2RhPbO5
1.0
7.1858 0.0000 0.0000
0.0000 7.1858 0.0000
0.0000 0.0000 5.8889
Ac Rh Pb O
4 2 2 10
direct
0.1750 0.3250 0.0000
0.3250 0.8250 0.0000
0.6750 0.1750 0.0000
0.8250 0.6750 0.0000
0.0000 0.5000 0.5000
0.5000 0.0000 0.5000
0.0000 0.0000 0.5000
0.5000 0.5000 0.5000
0.0000 0.0000 0.0000
0.1384 0.6384 0.2574
0.1384 0.6384 0.7426
0.3616 0.1384 0.2574
0.3616 0.1384 0.7426
0.5000 0.5000 0.0000
0.6384 0.8616 0.2574
0.6384 0.8616 0.7426
0.8616 0.3616 0.2574
0.8616 0.3616 0.7426
```

Entry from the Alexandria database: a geometry-optimized Ac2RhPbO8 structure (PBE).

Results
Its space group is P2/m. As for the total energy: -79.20 eV per formula unit.

POSCAR file:
```
Ac2RhPbO8
1.0
4.5393 0.0000 0.0000
0.0000 7.2453 0.0000
-0.4957 0.0000 5.5038
Ac Rh Pb O
2 1 1 8
direct
0.0000 0.2421 0.0000
0.0000 0.7579 0.0000
0.5000 0.0000 0.5000
0.5000 0.5000 0.5000
0.0823 0.0000 0.3963
0.0838 0.5000 0.2521
0.4496 0.2134 0.7356
0.4496 0.7866 0.7356
0.5504 0.2134 0.2644
0.5504 0.7866 0.2644
0.9162 0.5000 0.7479
0.9177 0.0000 0.6037
```

Entry from the Alexandria database: a geometry-optimized AcRhPb2O6 structure (PBE).

Results
Its space group is P2_1/c. As for the total energy: -63.23 eV per formula unit.

POSCAR file:
```
AcRhPb2O6
1.0
5.7184 0.0000 0.0000
0.0000 6.3828 0.0000
-5.6576 0.0000 8.5342
Ac Rh Pb O
2 2 4 12
direct
0.0000 0.0000 0.0000
0.0000 0.5000 0.5000
0.5000 0.0000 0.5000
0.5000 0.5000 0.0000
0.2160 0.0412 0.7233
0.2160 0.4588 0.2233
0.7840 0.5412 0.7767
0.7840 0.9588 0.2767
0.1736 0.1614 0.4737
0.1736 0.3386 0.9737
0.2441 0.7482 0.4195
0.2441 0.7518 0.9195
0.3902 0.0742 0.2813
0.3902 0.4258 0.7813
0.6098 0.5742 0.2187
0.6098 0.9258 0.7187
0.7559 0.2482 0.0805
0.7559 0.2518 0.5805
0.8264 0.6614 0.0263
0.8264 0.8386 0.5263
```

Repeat the first record exactly.
Entry from the Alexandria database: a geometry-optimized AcRhPb2O8 structure (PBE).

Results
Its space group is P2/m. As for the total energy: -72.84 eV per formula unit.

POSCAR file:
```
AcRhPb2O8
1.0
5.0399 0.0000 0.0000
0.0000 7.0001 0.0000
-0.1459 0.0000 5.0656
Ac Rh Pb O
1 1 2 8
direct
0.0000 0.0000 0.0000
0.0000 0.5000 0.0000
0.5000 0.2605 0.5000
0.5000 0.7395 0.5000
0.1603 0.2938 0.2190
0.1603 0.7062 0.2190
0.3094 0.5000 0.7506
0.3736 0.0000 0.7177
0.6264 0.0000 0.2823
0.6906 0.5000 0.2494
0.8397 0.2938 0.7810
0.8397 0.7062 0.7810
```